[1]
# BeWAu2 (PBE-GGA, relaxed)
data_BeWAu2
_chemical_formula_sum 'Be2 W2 Au4'
_symmetry_space_group_name_H-M 'A m m 2'
_symmetry_Int_Tables_number 38
_cell_length_a 3.802
_cell_length_b 2.889
_cell_length_c 11.160
_cell_angle_alpha 90.00
_cell_angle_beta 90.00
_cell_angle_gamma 90.00
loop_
_symmetry_equiv_pos_as_xyz
'x,y,z'
'-x,-y,z'
'-x,y,z'
'x,-y,z'
'x,y+1/2,z+1/2'
'-x,-y+1/2,z+1/2'
'-x,y+1/2,z+1/2'
'x,-y+1/2,z+1/2'
loop_
_atom_site_label
_atom_site_type_symbol
_atom_site_fract_x
_atom_site_fract_y
_atom_site_fract_z
Be1 Be 0.000 0.000 0.000
W1 W 0.500 0.000 0.590
Au1 Au 0.000 0.000 0.223
Au2 Au 0.500 0.000 0.870
# - ΔE_f (eV/atom) = 0.2553
# - calculated total energy (Ry/atom) = -0.4082

---

[2]
# BeW2Au (PBE-GGA, relaxed)
data_BeW2Au
_chemical_formula_sum 'Be1 W2 Au1'
_symmetry_space_group_name_H-M 'P 4/m m m'
_symmetry_Int_Tables_number 123
_symmetry_space_group_name_Hall '-P 4 2'
_cell_length_a 2.759
_cell_length_b 2.759
_cell_length_c 7.588
_cell_angle_alpha 90.00
_cell_angle_beta 90.00
_cell_angle_gamma 90.00
loop_
_atom_site_label
_atom_site_type_symbol
_atom_site_fract_x
_atom_site_fract_y
_atom_site_fract_z
Be1 Be 0.000 0.000 0.000
W1 W 0.500 0.500 0.209
Au1 Au 0.000 0.000 0.500
# - ΔE_f (eV/atom) = 0.2598
# - calculated total energy (Ry/atom) = -0.5856

---

[3]
# BeW3Au (PBE-GGA, relaxed)
data_BeW3Au
_chemical_formula_sum 'Be1 W3 Au1'
_symmetry_space_group_name_H-M 'P m -3 m'
_symmetry_Int_Tables_number 221
_symmetry_space_group_name_Hall '-P 4 2 3'
_cell_length_a 4.830
_cell_length_b 4.830
_cell_length_c 4.830
_cell_angle_alpha 90.00
_cell_angle_beta 90.00
_cell_angle_gamma 90.00
loop_
_atom_site_label
_atom_site_type_symbol
_atom_site_fract_x
_atom_site_fract_y
_atom_site_fract_z
Be1 Be 0.000 0.000 0.000
W1 W 0.000 0.500 0.500
Au1 Au 0.500 0.500 0.500
# - ΔE_f (eV/atom) = 3.0044
# - calculated total energy (Ry/atom) = -0.4534
# - relative energy among the computed polymorphs (meV/atom) = 2213.1

---

[4]
# YBe4Au12 (PBE-GGA, relaxed)
data_YBe4Au12
_chemical_formula_sum 'Y2 Be8 Au24'
_symmetry_space_group_name_H-M 'I m -3'
_symmetry_Int_Tables_number 204
_symmetry_space_group_name_Hall '-I 2 2 3'
_cell_length_a 8.450
_cell_length_b 8.450
_cell_length_c 8.450
_cell_angle_alpha 90.00
_cell_angle_beta 90.00
_cell_angle_gamma 90.00
loop_
_atom_site_label
_atom_site_type_symbol
_atom_site_fract_x
_atom_site_fract_y
_atom_site_fract_z
Y1 Y 0.000 0.000 0.000
Be1 Be 0.250 0.250 0.250
Au1 Au 0.000 0.170 0.331
# - ΔE_f (eV/atom) = -0.1220
# - calculated total energy (Ry/atom) = -0.2714

---

[5]
# Y2BeAu2 (PBE-GGA, relaxed)
data_Y2BeAu2
_chemical_formula_sum 'Y4 Be2 Au4'
_symmetry_space_group_name_H-M 'P 4/m b m'
_symmetry_Int_Tables_number 127
_symmetry_space_group_name_Hall '-P 4 2ab'
_cell_length_a 7.485
_cell_length_b 7.485
_cell_length_c 3.975
_cell_angle_alpha 90.00
_cell_angle_beta 90.00
_cell_angle_gamma 90.00
loop_
_atom_site_label
_atom_site_type_symbol
_atom_site_fract_x
_atom_site_fract_y
_atom_site_fract_z
Y1 Y 0.171 0.329 0.000
Be1 Be 0.000 0.000 0.500
Au1 Au 0.136 0.636 0.500
# - ΔE_f (eV/atom) = -0.4404
# - calculated total energy (Ry/atom) = -0.3735
# - relative energy among the computed polymorphs (meV/atom) = 0.0

---

[6]
# YBe2Au (PBE-GGA, relaxed)
data_YBe2Au
_chemical_formula_sum 'Y3 Be6 Au3'
_symmetry_space_group_name_H-M 'R -3 m'
_symmetry_Int_Tables_number 166
_symmetry_space_group_name_Hall '-R 3 2"'
_cell_length_a 3.9793
_cell_length_b 3.9793
_cell_length_c 14.5683
_cell_angle_alpha 90.00
_cell_angle_beta 90.00
_cell_angle_gamma 120.00
loop_
_atom_site_label
_atom_site_type_symbol
_atom_site_fract_x
_atom_site_fract_y
_atom_site_fract_z
Y1 Y 0.0000 0.0000 0.0000
Be1 Be 0.0000 0.0000 0.1988
Au1 Au 0.0000 0.0000 0.5000
# - ΔE_f (eV/atom) = -0.3417
# - calculated total energy (Ry/atom) = -0.3410
# - relative energy among the computed polymorphs (meV/atom) = 0.0

---

Among the records above, which one has the lowest ΔE_f? Y2BeAu2

---

Which of these has the highest ΔE_f? BeW3Au

---

What is the formula in the third record? BeW3Au